A plane-wave DFT calculation with PBE-GGA was carried out for an optimized crystal structure of TiTl2ZnRh.

The space group is P4/mmm (No. 123) and the conventional cell measures 5.545, 5.545 and 4.450 Å, with angles of 90.00, 90.00 and 90.00 degrees. Symmetry generates all atoms from Ti at (0.000, 0.000, 0.000), Tl at (0.000, 0.500, 0.000), Zn at (0.500, 0.500, 0.500) and Rh at (0.000, 0.000, 0.500).

The value obtained for the density of states at the Fermi level is 4.94 states/eV/cell. The total energy is -3.650 eV/atom. The formation energy comes out at 13.85 kcal/mol of atoms.